(1)
DFT (PBE-GGA) results for a relaxed structure of CsCaH2CF.

Computed properties:
Its excess energy over the best structure of this formula in the dataset is 0.12 eV per formula unit. The density comes out at 3.307 Mg/m³. The total energy comes out at -0.1614 Ha/atom. Its magnetization is 0.0 μB/cell.

a = 14.356 Å, b = 3.962 Å, c = 3.637 Å
α = 90.00°, β = 90.40°, γ = 90.00°
Fractional positions:
Cs 0.000 0.000 0.000
Cs 0.500 0.500 0.000
Ca 0.230 0.500 0.505
Ca 0.730 0.000 0.505
H 0.321 0.000 0.773
H 0.322 0.000 0.243
H 0.821 0.500 0.773
H 0.822 0.500 0.243
C 0.270 0.000 0.009
C 0.770 0.500 0.009
F 0.075 0.500 0.502
F 0.575 0.000 0.502

***

(2)
DFT (PBE-GGA) results for a relaxed structure of GaRe3Au.

Computed properties:
As for the density of states at the Fermi level: 6.74 states/eV/cell. Its excess energy over the best structure of this formula in the dataset is 4.58 eV per formula unit. The density comes out at 11.852 Mg/m³. For the formation energy, the calculation gives 2906.7 meV per atom. The total energy comes out at -0.2140 Ha/atom. Its magnetization is 5.3 μB/cell.

a = 4.872 Å, b = 4.872 Å, c = 4.872 Å
α = 90.00°, β = 90.00°, γ = 90.00°
Fractional positions:
Ga 0.000 0.000 0.000
Re 0.000 0.500 0.500
Re 0.500 0.000 0.500
Re 0.500 0.500 0.000
Au 0.500 0.500 0.500

***

(3)
DFT (PBE-GGA) results for a relaxed structure of ThAl5Pd3.

Computed properties:
As for the density of states at the Fermi level: 8.44 states/eV/cell. The density comes out at 6.912 Mg/m³. For the formation energy, the calculation gives -676.7 meV per atom. The total energy comes out at -0.1952 Ha/atom. Its magnetization is 0.0 μB/cell.

a = 6.775 Å, b = 6.775 Å, c = 12.516 Å
α = 90.00°, β = 90.00°, γ = 144.98°
Fractional positions:
Th 0.161 0.839 0.750
Th 0.839 0.161 0.250
Al 0.000 0.000 0.000
Al 0.000 0.000 0.500
Al 0.200 0.800 0.060
Al 0.200 0.800 0.440
Al 0.439 0.561 0.649
Al 0.439 0.561 0.851
Al 0.561 0.439 0.149
Al 0.561 0.439 0.351
Al 0.800 0.200 0.560
Al 0.800 0.200 0.940
Pd 0.132 0.868 0.250
Pd 0.391 0.609 0.050
Pd 0.391 0.609 0.450
Pd 0.609 0.391 0.550
Pd 0.609 0.391 0.950
Pd 0.868 0.132 0.750

***

(4)
DFT (PBE-GGA) results for a relaxed structure of AlCd2Se.

Computed properties:
For the formation energy (no corrections), the calculation gives 0.189 eV/atom. As for the density of states at the Fermi level: 3.60 states/eV/cell. Its excess energy over the best structure of this formula in the dataset is 1.58 eV per formula unit. The density comes out at 6.257 Mg/m³. The total energy comes out at -0.0763 Ha/atom. Its magnetization is 0.0 μB/cell.

a = 3.595 Å, b = 4.797 Å, c = 10.182 Å
α = 90.00°, β = 90.00°, γ = 90.00°
Fractional positions:
Al 0.000 0.000 0.000
Al 0.500 0.500 0.000
Cd 0.000 0.500 0.242
Cd 0.000 0.500 0.758
Cd 0.500 0.000 0.242
Cd 0.500 0.000 0.758
Se 0.000 0.000 0.500
Se 0.500 0.500 0.500

***

(5)
DFT (PBE-GGA) results for a relaxed structure of SmDy4Er2Tm2.

Computed properties:
As for the density of states at the Fermi level: 12.17 states/eV/cell. The density comes out at 8.708 Mg/m³. For the formation energy, the calculation gives 1.3 meV per atom. The total energy comes out at -0.1682 Ha/atom. Its magnetization is 0.0 μB/cell.

a = 9.420 Å, b = 9.420 Å, c = 9.463 Å
α = 115.24°, β = 115.24°, γ = 21.79°
Fractional positions:
Sm 0.000 0.000 0.000
Dy 0.186 0.186 0.334
Dy 0.482 0.482 0.665
Dy 0.518 0.518 0.335
Dy 0.814 0.814 0.666
Er 0.148 0.148 0.667
Er 0.852 0.852 0.333
Tm 0.332 0.332 0.000
Tm 0.668 0.668 0.000

***

(6)
DFT (PBE-GGA) results for a relaxed structure of BaCaSmTl.

Computed properties:
As for the density of states at the Fermi level: 16.76 states/eV/cell. The density comes out at 6.062 Mg/m³. For the formation energy, the calculation gives -45.2 meV per atom. The total energy comes out at -0.1028 Ha/atom. Its magnetization is 0.0 μB/cell.

a = 8.354 Å, b = 8.354 Å, c = 8.354 Å
α = 90.00°, β = 90.00°, γ = 90.00°
Fractional positions:
Ba 0.000 0.000 0.000
Ba 0.000 0.500 0.500
Ba 0.500 0.000 0.500
Ba 0.500 0.500 0.000
Ca 0.250 0.250 0.750
Ca 0.250 0.750 0.250
Ca 0.750 0.250 0.250
Ca 0.750 0.750 0.750
Sm 0.000 0.000 0.500
Sm 0.000 0.500 0.000
Sm 0.500 0.000 0.000
Sm 0.500 0.500 0.500
Tl 0.250 0.250 0.250
Tl 0.250 0.750 0.750
Tl 0.750 0.250 0.750
Tl 0.750 0.750 0.250

***

(7)
DFT (PBE-GGA) results for a relaxed structure of Ca2CrNi2.

Computed properties:
As for the density of states at the Fermi level: 15.17 states/eV/cell. The density comes out at 4.507 Mg/m³. For the formation energy, the calculation gives 316.9 meV per atom. The total energy comes out at -0.1735 Ha/atom. Its magnetization is 0.0 μB/cell.

a = 6.302 Å, b = 6.302 Å, c = 4.629 Å
α = 90.00°, β = 90.00°, γ = 90.00°
Fractional positions:
Ca 0.180 0.320 0.000
Ca 0.320 0.820 0.000
Ca 0.680 0.180 0.000
Ca 0.820 0.680 0.000
Cr 0.000 0.000 0.500
Cr 0.500 0.500 0.500
Ni 0.135 0.635 0.500
Ni 0.365 0.135 0.500
Ni 0.635 0.865 0.500
Ni 0.865 0.365 0.500

***

(8)
DFT (PBE-GGA) results for a relaxed structure of KTcSb2I.

Computed properties:
For the formation energy (no corrections), the calculation gives 1.683 eV/atom. As for the density of states at the Fermi level: 4.82 states/eV/cell. Its excess energy over the best structure of this formula in the dataset is 8.52 eV per formula unit. The density comes out at 3.901 Mg/m³. The total energy comes out at -0.0944 Ha/atom. Its magnetization is 3.1 μB/cell.

a = 5.997 Å, b = 5.997 Å, c = 6.007 Å
α = 90.00°, β = 90.00°, γ = 90.00°
Fractional positions:
K 0.000 0.000 0.000
Tc 0.500 0.500 0.500
Sb 0.000 0.500 0.000
Sb 0.500 0.000 0.000
I 0.000 0.000 0.500